Material: Fe2CuF8
Method: DFT, PBE+U
State: optimized geometry

POSCAR file:
```
Fe2CuF8
1.0
5.050 -0.362 -0.275
-0.435 5.191 -0.089
-0.435 1.312 5.023
Fe F Cu
2 8 1
Cartesian
1.649 4.289 3.254
2.530 1.852 1.405
4.026 0.873 0.663
3.126 3.270 -0.004
3.126 0.877 3.151
1.053 2.870 4.663
1.053 5.264 1.508
0.153 5.267 3.997
0.939 2.774 2.104
3.240 3.367 2.555
0.000 0.000 0.000
```

Results
Space-group type   C2/m (12)
Offset from the most stable computed form   0.00 kJ/mol of atoms